No. 1
! ScCu6 | Alexandria | PBE-GGA | relaxed; values from VASP
&SYSTEM
  ibrav = 0, nat = 7, ntyp = 2
/
ATOMIC_SPECIES
Sc 44.96 Sc.upf
Cu 63.55 Cu.upf
ATOMIC_POSITIONS crystal
Sc 0.0000 0.0000 0.0000
Cu 0.1982 0.5000 0.5000
Cu 0.5000 0.1982 0.5000
Cu 0.5000 0.5000 0.1982
Cu 0.5000 0.5000 0.8018
Cu 0.5000 0.8018 0.5000
Cu 0.8018 0.5000 0.5000
CELL_PARAMETERS angstrom
5.5166 0.0000 0.0000
0.0000 5.5166 0.0000
0.0000 0.0000 5.5166
! **DFT total energy**: -3.389 eV/atom
! **DOS(E_F)**: 8.6 states/eV per cell



No. 2
! KFeIr2 | Alexandria | PBE-GGA | relaxed; values from VASP
&SYSTEM
  ibrav = 0, nat = 4, ntyp = 3
/
ATOMIC_SPECIES
K 39.10 K.upf
Fe 55.84 Fe.upf
Ir 192.22 Ir.upf
ATOMIC_POSITIONS crystal
K 0.0000 0.0000 0.0000
Fe 0.5000 0.5000 0.2932
Ir 0.0000 0.0000 0.4974
Ir 0.5000 0.5000 0.7272
CELL_PARAMETERS angstrom
1.3964 -2.3727 0.0000
1.3964 2.3727 0.0000
0.0000 0.0000 10.2475
! **DFT total energy**: -6.071 eV/atom
! **DOS(E_F)**: 5.3 states/eV per cell



No. 3
! ZnNi2BRu | Alexandria | PBE-GGA | relaxed; values from VASP
&SYSTEM
  ibrav = 0, nat = 5, ntyp = 4
/
ATOMIC_SPECIES
Zn 65.41 Zn.upf
Ni 58.69 Ni.upf
B 10.81 B.upf
Ru 101.07 Ru.upf
ATOMIC_POSITIONS crystal
Zn 0.0000 0.0000 0.0000
Ni 0.0000 0.5000 0.5000
Ni 0.5000 0.0000 0.5000
B 0.5000 0.5000 0.5000
Ru 0.5000 0.5000 0.0000
CELL_PARAMETERS angstrom
3.8332 0.0000 0.0000
0.0000 3.8332 0.0000
0.0000 0.0000 4.0515
! **DFT total energy**: -5.846 eV/atom
! **DOS(E_F)**: 4.9 states/eV per cell